[1]
This record from the Open Quantum Materials Database describes a geometry-optimized LiGdTm structure. The functional is PBE.

a b c (Å): 5.021 5.021 5.021
angles (deg): 60.00 60.00 60.00
Sites, in units of the cell vectors:
Gd  0.250  0.250  0.250
Li  0.000  0.000  0.000
Tm  0.750  0.750  0.750

Summary:
crystal system: cubic

---

[2]
This record from the Open Quantum Materials Database describes a geometry-optimized LiGdU structure. The functional is PBE.

a b c (Å): 4.854 4.854 4.854
angles (deg): 60.00 60.00 60.00
Sites, in units of the cell vectors:
Gd  0.250  0.250  0.250
Li  0.000  0.000  0.000
U  0.750  0.750  0.750

Summary:
crystal system: cubic

---

So what do the calculations give for relative energy among the computed polymorphs? Going down the list: 0, 0 meV/atom.